1.
Crystalline InAs3 at its relaxed geometry. Source: the Alexandria database, functional PBE.

## Properties
- Symmetry: Pmm2 (25)
- Energy: -16.715 eV/cell
- Energy of formation: -7 meV/atom

Unit cell a=3.905 b=5.549 c=4.264 alpha=90.00 beta=90.00 gamma=90.00
Element x y z (fractional)
In  0.000  0.000  0.000
As  0.000  0.500  0.115
As  0.500  0.000  0.536
As  0.500  0.500  0.495



2.
Crystalline InAs at its relaxed geometry. Source: the Alexandria database, functional PBE.

## Properties
- Symmetry: P2_1/m (11)
- Energy: -14.552 eV/cell
- Energy of formation: 56 meV/atom

Unit cell a=4.332 b=3.709 c=6.543 alpha=90.00 beta=101.18 gamma=90.00
Element x y z (fractional)
In  0.203  0.250  0.370
In  0.797  0.750  0.630
As  0.308  0.750  0.011
As  0.692  0.250  0.989



3.
Crystalline In2As at its relaxed geometry. Source: the Alexandria database, functional PBE.

## Properties
- Symmetry: I4/mcm (140)
- Energy: -19.908 eV/cell
- Energy of formation: 57 meV/atom

Unit cell a=5.912 b=5.912 c=5.912 alpha=103.73 beta=103.73 gamma=121.69
Element x y z (fractional)
In  0.153  0.653  0.805
In  0.347  0.153  0.500
In  0.653  0.847  0.500
In  0.847  0.347  0.195
As  0.250  0.250  0.000
As  0.750  0.750  0.000



4.
Crystalline InAs3 at its relaxed geometry. Source: the Alexandria database, functional PBE.

## Properties
- Symmetry: Immm (71)
- Energy: -15.608 eV/cell
- Energy of formation: 270 meV/atom

Unit cell a=5.785 b=5.785 c=5.785 alpha=144.10 beta=130.46 gamma=62.68
Element x y z (fractional)
In  0.000  0.000  0.000
As  0.286  0.786  0.500
As  0.500  0.500  0.000
As  0.714  0.214  0.500



5.
Crystalline In4As at its relaxed geometry. Source: the Alexandria database, functional PBE.

## Properties
- Energy relative to the lowest polymorph listed for this composition: 0.00 eV/f.u.
- Symmetry: I4/m (87)
- Energy: -15.205 eV/cell
- Energy of formation: 80 meV/atom

Unit cell a=5.676 b=5.676 c=5.676 alpha=100.97 beta=100.97 gamma=128.27
Element x y z (fractional)
In  0.114  0.700  0.813
In  0.300  0.114  0.414
In  0.700  0.886  0.586
In  0.886  0.300  0.187
As  0.500  0.500  0.000



6.
Crystalline InAs at its relaxed geometry. Source: the Alexandria database, functional PBE.

## Properties
- Symmetry: R-3m (166)
- Energy: -14.936 eV/cell
- Energy of formation: -40 meV/atom

Unit cell a=7.834 b=7.834 c=7.834 alpha=32.54 beta=32.54 gamma=32.54
Element x y z (fractional)
In  0.215  0.215  0.215
In  0.785  0.785  0.785
As  0.078  0.078  0.078
As  0.922  0.922  0.922



7.
Crystalline InAs2 at its relaxed geometry. Source: the Alexandria database, functional PBE.

## Properties
- Symmetry: Pnnm (58)
- Energy: -23.986 eV/cell
- Energy of formation: 15 meV/atom

Unit cell a=5.399 b=6.827 c=4.143 alpha=90.00 beta=90.00 gamma=90.00
Element x y z (fractional)
In  0.000  0.000  0.000
In  0.500  0.500  0.500
As  0.172  0.393  0.000
As  0.328  0.893  0.500
As  0.672  0.107  0.500
As  0.828  0.607  0.000



8.
Crystalline In3As at its relaxed geometry. Source: the Alexandria database, functional PBE.

## Properties
- Energy relative to the lowest polymorph listed for this composition: 0.53 eV/f.u.
- Symmetry: P-6m2 (187)
- Energy: -12.292 eV/cell
- Energy of formation: 143 meV/atom

Unit cell a=3.262 b=3.262 c=11.046 alpha=90.00 beta=90.00 gamma=120.00
Element x y z (fractional)
In  0.000  0.000  0.000
In  0.667  0.333  0.271
In  0.667  0.333  0.729
As  0.000  0.000  0.500